No. 1
AcPt2 after structural relaxation, computed with PBE.

The calculated formation energy is -659 meV per atom.

It has space group I4/mmm (No. 139), with a = 3.777 Å, b = 3.777 Å, c = 9.699 Å, α = 90.00°, β = 90.00° and γ = 90.00°. Symmetry generates all atoms from Ac at (0.000, 0.000, 0.000) and Pt at (0.000, 0.000, 0.311).


No. 2
Bi3PbAu6 after structural relaxation, computed with PBE.

The calculated formation energy is 13 meV per atom.

It has space group Cmc2_1 (No. 36), with a = 7.447 Å, b = 15.825 Å, c = 8.196 Å, α = 90.00°, β = 90.00° and γ = 90.00°. Symmetry generates all atoms from Bi at (0.000, 0.071, 0.000), Bi at (0.217, 0.384, 0.887), Pb at (0.000, 0.271, 0.207), Au at (0.000, 0.166, 0.665), Au at (0.000, 0.460, 0.558), Au at (0.196, 0.303, 0.529) and Au at (0.205, 0.436, 0.259).


No. 3
Tb6AsP5 after structural relaxation, computed with PBE.

The calculated formation energy is -1599 meV per atom.

It has space group C2/m (No. 12), with a = 7.013 Å, b = 12.141 Å, c = 7.009 Å, α = 90.00°, β = 109.48° and γ = 90.00°. Symmetry generates all atoms from Tb at (0.246, 0.000, 0.252), Tb at (0.247, 0.169, 0.748), As at (0.000, 0.500, 0.000), P at (0.000, 0.000, 0.500), P at (0.000, 0.167, 0.000) and P at (0.000, 0.334, 0.500).


No. 4
GeTe2N after structural relaxation, computed with PBE.

The formation energy (no corrections) comes out at 3.2 eV per formula unit.

It has space group I-42d (No. 122), with a = 5.921 Å, b = 5.921 Å, c = 12.140 Å, α = 90.00°, β = 90.00° and γ = 90.00°. Symmetry generates all atoms from Ge at (0.000, 0.000, 0.000), Te at (0.153, 0.250, 0.625) and N at (0.000, 0.000, 0.500).


No. 5
Ho2TlPb2 after structural relaxation, computed with PBE.

The calculated formation energy is -183 meV per atom.

It has space group Cmmm (No. 65), with a = 5.076 Å, b = 17.508 Å, c = 3.607 Å, α = 90.00°, β = 90.00° and γ = 90.00°. Symmetry generates all atoms from Ho at (0.000, 0.181, 0.000), Tl at (0.000, 0.000, 0.000) and Pb at (0.000, 0.358, 0.500).


No. 6
Na2RuBr after structural relaxation, computed with PBE.

The formation energy (no corrections) comes out at 2.1 eV per formula unit.

It has space group Fm-3m (No. 225), with a = 7.362 Å, b = 7.362 Å, c = 7.362 Å, α = 90.00°, β = 90.00° and γ = 90.00°. Symmetry generates all atoms from Na at (0.250, 0.250, 0.250), Ru at (0.000, 0.000, 0.000) and Br at (0.000, 0.000, 0.500).


No. 7
K2RbReO4 after structural relaxation, computed with PBE.

The formation energy (no corrections) comes out at -13.2 eV per formula unit.

It has space group I-4 (No. 82), with a = 6.349 Å, b = 6.349 Å, c = 8.145 Å, α = 90.00°, β = 90.00° and γ = 90.00°. Symmetry generates all atoms from K at (0.000, 0.000, 0.000), K at (0.000, 0.500, 0.250), Rb at (0.000, 0.000, 0.500), Re at (0.000, 0.500, 0.750) and O at (0.188, 0.711, 0.803).


No. 8
Cr2NiSb after structural relaxation, computed with PBE.

The formation energy (no corrections) comes out at 0.8 eV per formula unit.

It has space group P4mm (No. 99), with a = 3.191 Å, b = 3.191 Å, c = 5.650 Å, α = 90.00°, β = 90.00° and γ = 90.00°. Symmetry generates all atoms from Cr at (0.000, 0.000, 0.000), Cr at (0.500, 0.500, 0.209), Ni at (0.500, 0.500, 0.752) and Sb at (0.000, 0.000, 0.506).


No. 9
SiBi2Te after structural relaxation, computed with PBE.

The formation energy (no corrections) comes out at 1.3 eV per formula unit.

It has space group I-42d (No. 122), with a = 7.421 Å, b = 7.421 Å, c = 10.917 Å, α = 90.00°, β = 90.00° and γ = 90.00°. Symmetry generates all atoms from Si at (0.000, 0.000, 0.000), Bi at (0.207, 0.250, 0.125) and Te at (0.000, 0.000, 0.500).


No. 10
MgCrPb2 after structural relaxation, computed with PBE.

The calculated formation energy is 280 meV per atom.

It has space group P4/mmm (No. 123), with a = 4.949 Å, b = 4.949 Å, c = 3.945 Å, α = 90.00°, β = 90.00° and γ = 90.00°. Symmetry generates all atoms from Mg at (0.000, 0.000, 0.000), Cr at (0.500, 0.500, 0.000) and Pb at (0.000, 0.500, 0.500).


No. 11
Rb3ScBr6 after structural relaxation, computed with PBE.

The formation energy (no corrections) comes out at -17.4 eV per formula unit.

It has space group R-3 (No. 148, hexagonal axes), with a = 13.4537 Å, b = 13.4537 Å, c = 15.2729 Å, α = 90.00°, β = 90.00° and γ = 120.00°. Symmetry generates all atoms from Rb at (0.0465, 0.7843, 0.2186), Sc at (0.0000, 0.0000, 0.0000), Sc at (0.0000, 0.0000, 0.5000), Br at (0.0340, 0.8565, 0.8997) and Br at (0.0766, 0.8889, 0.6015).


No. 12
Ba3Hg9Pt2 after structural relaxation, computed with PBE.

The calculated formation energy is -368 meV per atom.

It has space group Immm (No. 71), with a = 4.800 Å, b = 11.242 Å, c = 14.611 Å, α = 90.00°, β = 90.00° and γ = 90.00°. Symmetry generates all atoms from Ba at (0.000, 0.000, 0.000), Ba at (0.000, 0.000, 0.326), Hg at (0.000, 0.280, 0.117), Hg at (0.000, 0.364, 0.324), Hg at (0.000, 0.500, 0.000) and Pt at (0.000, 0.252, 0.500).


no.,uncorrected energy (eV per atom)
1,-6.06
2,-3.49
3,-6.56
4,-4.01
5,-3.97
6,-2.87
7,-6.08
8,-7.09
9,-3.75
10,-4.38
11,-3.67
12,-1.84